Record 1
PmEr3B: optimized geometry, GGA-PBE.

abc: 5.1269 5.1269 5.1269
angles: 90.00 90.00 90.00
With the nearest neighbours (Å) after each atom.
Sites, in units of the cell vectors:
Pm (0.0000, 0.0000, 0.0000)  12 Er 3.63
Er (0.0000, 0.5000, 0.5000)  2 B 2.56
Er (0.5000, 0.0000, 0.5000)  2 B 2.56
Er (0.5000, 0.5000, 0.0000)  2 B 2.56
B (0.5000, 0.5000, 0.5000)  6 Er 2.56

symmetry = Pm-3m, No. 221
formation enthalpy at 0 K = 40 meV/atom
magnetization = 0.00 μB per cell
D(E_F) = 5.62 states/eV per cell

---

Record 2
PrErB: optimized geometry, GGA-PBE.

abc: 10.1483 4.8431 6.2324
angles: 90.00 118.31 90.00
With the nearest neighbours (Å) after each atom.
Sites, in units of the cell vectors:
Pr (0.1544, 0.0000, 0.4927)  2 B 2.68-2.99
Pr (0.3456, 0.5000, 0.5073)  2 B 2.68-2.99
Pr (0.6544, 0.5000, 0.4927)  2 B 2.68-2.99
Pr (0.8456, 0.0000, 0.5073)  2 B 2.68-2.99
Er (0.1140, 0.5000, 0.8614)  3 B 2.68-2.74
Er (0.3860, 0.0000, 0.1386)  3 B 2.68-2.74
Er (0.6140, 0.0000, 0.8614)  3 B 2.68-2.74
Er (0.8860, 0.5000, 0.1386)  3 B 2.68-2.74
B (0.0901, 0.0000, 0.0236)  1 B 1.71
B (0.4099, 0.5000, 0.9764)  1 B 1.71
B (0.5901, 0.5000, 0.0236)  1 B 1.71
B (0.9099, 0.0000, 0.9764)  1 B 1.71

symmetry = C2/m, No. 12
formation enthalpy at 0 K = 41 meV/atom
magnetization = 0.00 μB per cell
D(E_F) = 6.94 states/eV per cell

---

Record 3
PrEr2B6: optimized geometry, GGA-PBE.

abc: 5.7255 5.7255 3.9402
angles: 90.00 90.00 120.00
With the nearest neighbours (Å) after each atom.
Sites, in units of the cell vectors:
Pr (0.0000, 0.0000, 0.0000)  12 B 2.77
Er (0.3333, 0.6667, 0.0000)  12 B 2.73
Er (0.6667, 0.3333, 0.0000)  12 B 2.73
B (0.0000, 0.3410, 0.5000)  3 B 1.82-1.95
B (0.0000, 0.6590, 0.5000)  3 B 1.82-1.95
B (0.3410, 0.0000, 0.5000)  3 B 1.82-1.95
B (0.3410, 0.3410, 0.5000)  3 B 1.82-1.95
B (0.6590, 0.0000, 0.5000)  3 B 1.82-1.95
B (0.6590, 0.6590, 0.5000)  3 B 1.82-1.95

symmetry = P6/mmm, No. 191
formation enthalpy at 0 K = -464 meV/atom
magnetization = 0.00 μB per cell
D(E_F) = 3.98 states/eV per cell

---

Record 4
ErB2Pt7: optimized geometry, GGA-PBE.

abc: 6.6070 6.6070 4.1605
angles: 90.00 90.00 114.47
With the nearest neighbours (Å) after each atom.
Sites, in units of the cell vectors:
Er (0.0000, 0.0000, 0.0000)  10 Pt 2.91
B (0.3077, 0.6923, 0.5000)  5 Pt 2.14-2.27
B (0.6923, 0.3077, 0.5000)  5 Pt 2.14-2.27
Pt (0.0645, 0.3286, 0.5000)  2 B 2.27-2.41
Pt (0.2620, 0.7380, 0.0000)  2 B 2.14
Pt (0.3286, 0.0645, 0.5000)  2 B 2.27-2.41
Pt (0.5000, 0.5000, 0.5000)  2 B 2.14
Pt (0.6714, 0.9355, 0.5000)  2 B 2.27-2.41
Pt (0.7380, 0.2620, 0.0000)  2 B 2.14
Pt (0.9355, 0.6714, 0.5000)  2 B 2.27-2.41

symmetry = Cmmm, No. 65
formation enthalpy at 0 K = -345 meV/atom
magnetization = 0.00 μB per cell
D(E_F) = 4.39 states/eV per cell

---

Record 5
ErBPt5: optimized geometry, GGA-PBE.

abc: 3.9275 3.9275 7.0615
angles: 90.00 90.00 90.00
With the nearest neighbours (Å) after each atom.
Sites, in units of the cell vectors:
Er (0.0000, 0.0000, 0.0000)  12 Pt 2.78-2.94
B (0.5000, 0.5000, 0.5000)  8 Pt 2.38
Pt (0.0000, 0.5000, 0.3089)  2 B 2.38
Pt (0.0000, 0.5000, 0.6911)  2 B 2.38
Pt (0.5000, 0.0000, 0.3089)  2 B 2.38
Pt (0.5000, 0.0000, 0.6911)  2 B 2.38
Pt (0.5000, 0.5000, 0.0000)  4 Er 2.78, 8 Pt 2.94

symmetry = P4/mmm, No. 123
formation enthalpy at 0 K = -654 meV/atom
magnetization = 0.00 μB per cell
D(E_F) = 2.78 states/eV per cell

---

Record 6
ErBPt2: optimized geometry, GGA-PBE.

abc: 3.7990 3.7990 16.2887
angles: 90.00 90.00 120.00
With the nearest neighbours (Å) after each atom.
Sites, in units of the cell vectors:
Er (0.0000, 0.0000, 0.0000)  6 Pt 2.93
Er (0.3333, 0.6667, 0.6667)  6 Pt 2.93
Er (0.6667, 0.3333, 0.3333)  6 Pt 2.93
B (0.0000, 0.0000, 0.5000)  6 Pt 2.33
B (0.3333, 0.6667, 0.1667)  6 Pt 2.33
B (0.6667, 0.3333, 0.8333)  6 Pt 2.33
Pt (0.0000, 0.0000, 0.2145)  3 B 2.33
Pt (0.0000, 0.0000, 0.7855)  3 B 2.33
Pt (0.3333, 0.6667, 0.4522)  3 B 2.33
Pt (0.3333, 0.6667, 0.8811)  3 B 2.33
Pt (0.6667, 0.3333, 0.1189)  3 B 2.33
Pt (0.6667, 0.3333, 0.5478)  3 B 2.33

symmetry = R-3m, No. 166
formation enthalpy at 0 K = -516 meV/atom
magnetization = 0.00 μB per cell
D(E_F) = 6.06 states/eV per cell

---

Record 7
Er3B2Pt9: optimized geometry, GGA-PBE.

abc: 5.9886 5.9886 14.6281
angles: 90.00 90.00 120.00
With the nearest neighbours (Å) after each atom.
Sites, in units of the cell vectors:
Er (0.0000, 0.0000, 0.2500)  12 Pt 2.98-3.00
Er (0.0000, 0.0000, 0.7500)  12 Pt 2.98-3.00
Er (0.3333, 0.6667, 0.0787)  12 Pt 2.95-3.00
Er (0.3333, 0.6667, 0.4213)  12 Pt 2.95-3.00
Er (0.6667, 0.3333, 0.5787)  12 Pt 2.95-3.00
Er (0.6667, 0.3333, 0.9213)  12 Pt 2.95-3.00
B (0.3333, 0.6667, 0.6602)  6 Pt 2.14-2.23
B (0.3333, 0.6667, 0.8398)  6 Pt 2.14-2.23
B (0.6667, 0.3333, 0.1602)  6 Pt 2.14-2.23
B (0.6667, 0.3333, 0.3398)  6 Pt 2.14-2.23
Pt (0.0149, 0.5074, 0.2500)  2 B 2.23
Pt (0.1602, 0.3204, 0.5810)  1 B 2.14
Pt (0.1602, 0.3204, 0.9190)  1 B 2.14
Pt (0.1602, 0.8398, 0.5810)  1 B 2.14
Pt (0.1602, 0.8398, 0.9190)  1 B 2.14
Pt (0.3204, 0.1602, 0.0810)  1 B 2.14
Pt (0.3204, 0.1602, 0.4190)  1 B 2.14
Pt (0.4926, 0.5074, 0.2500)  2 B 2.23
Pt (0.4926, 0.9851, 0.2500)  2 B 2.23
Pt (0.5074, 0.0149, 0.7500)  2 B 2.23
Pt (0.5074, 0.4926, 0.7500)  2 B 2.23
Pt (0.6796, 0.8398, 0.5810)  1 B 2.14
Pt (0.6796, 0.8398, 0.9190)  1 B 2.14
Pt (0.8398, 0.1602, 0.0810)  1 B 2.14
Pt (0.8398, 0.1602, 0.4190)  1 B 2.14
Pt (0.8398, 0.6796, 0.0810)  1 B 2.14
Pt (0.8398, 0.6796, 0.4190)  1 B 2.14
Pt (0.9851, 0.4926, 0.7500)  2 B 2.23

symmetry = P6_3/mmc, No. 194
formation enthalpy at 0 K = -938 meV/atom
magnetization = 0.00 μB per cell
D(E_F) = 7.80 states/eV per cell

---

Record 8
ErBPt4: optimized geometry, GGA-PBE.

abc: 5.1002 6.1087 6.9481
angles: 105.92 103.20 95.85
With the nearest neighbours (Å) after each atom.
Sites, in units of the cell vectors:
Er (0.1467, 0.2541, 0.4421)  8 Pt 2.83-3.12
Er (0.8533, 0.7459, 0.5579)  8 Pt 2.83-3.12
B (0.0000, 0.5000, 0.0000)  6 Pt 2.09-2.15
B (0.5000, 0.0000, 0.0000)  6 Pt 2.11-2.25
Pt (0.1440, 0.1765, 0.9664)  2 B 2.15-2.20
Pt (0.2411, 0.6441, 0.3066)  1 B 2.09
Pt (0.3004, 0.6258, 0.8695)  2 B 2.13-2.25
Pt (0.4246, 0.9732, 0.6824)  1 B 2.11
Pt (0.5754, 0.0268, 0.3176)  1 B 2.11
Pt (0.6996, 0.3742, 0.1305)  2 B 2.13-2.25
Pt (0.7589, 0.3559, 0.6934)  1 B 2.09
Pt (0.8560, 0.8235, 0.0336)  2 B 2.15-2.20

symmetry = P-1, No. 2
formation enthalpy at 0 K = -656 meV/atom
magnetization = 0.00 μB per cell
D(E_F) = 4.63 states/eV per cell

---

Record 9
ErBPt: optimized geometry, GGA-PBE.

abc: 9.3622 3.4553 5.8650
angles: 90.00 90.00 90.00
With the nearest neighbours (Å) after each atom.
Sites, in units of the cell vectors:
Er (0.2457, 0.2500, 0.1005)  4 B 2.65-2.86
Er (0.2543, 0.7500, 0.6005)  4 B 2.65-2.86
Er (0.7457, 0.2500, 0.3995)  4 B 2.65-2.86
Er (0.7543, 0.7500, 0.8995)  4 B 2.65-2.86
B (0.0596, 0.7500, 0.9297)  3 Pt 2.20-2.22, 2 B 2.22
B (0.4404, 0.2500, 0.4297)  3 Pt 2.20-2.22, 2 B 2.22
B (0.5596, 0.7500, 0.5703)  3 Pt 2.20-2.22, 2 B 2.22
B (0.9404, 0.2500, 0.0703)  3 Pt 2.20-2.22, 2 B 2.22
Pt (0.0022, 0.2500, 0.7090)  3 B 2.20-2.22
Pt (0.4978, 0.7500, 0.2090)  3 B 2.20-2.22
Pt (0.5022, 0.2500, 0.7910)  3 B 2.20-2.22
Pt (0.9978, 0.7500, 0.2910)  3 B 2.20-2.22

symmetry = Pnma, No. 62
formation enthalpy at 0 K = -681 meV/atom
magnetization = 0.00 μB per cell
D(E_F) = 6.01 states/eV per cell

---

Record 10
ErB4Pt12: optimized geometry, GGA-PBE.

abc: 6.8930 6.8930 6.8930
angles: 109.47 109.47 109.47
With the nearest neighbours (Å) after each atom.
Sites, in units of the cell vectors:
Er (0.0000, 0.0000, 0.0000)  12 Pt 2.93
B (0.0000, 0.0000, 0.5000)  6 Pt 2.15
B (0.0000, 0.5000, 0.0000)  6 Pt 2.15
B (0.5000, 0.0000, 0.0000)  6 Pt 2.15
B (0.5000, 0.5000, 0.5000)  6 Pt 2.15
Pt (0.1430, 0.3215, 0.8215)  2 B 2.15
Pt (0.1785, 0.5000, 0.3215)  2 B 2.15
Pt (0.1785, 0.8570, 0.6785)  2 B 2.15
Pt (0.3215, 0.1785, 0.5000)  2 B 2.15
Pt (0.3215, 0.8215, 0.1430)  2 B 2.15
Pt (0.5000, 0.3215, 0.1785)  2 B 2.15
Pt (0.5000, 0.6785, 0.8215)  2 B 2.15
Pt (0.6785, 0.1785, 0.8570)  2 B 2.15
Pt (0.6785, 0.8215, 0.5000)  2 B 2.15
Pt (0.8215, 0.1430, 0.3215)  2 B 2.15
Pt (0.8215, 0.5000, 0.6785)  2 B 2.15
Pt (0.8570, 0.6785, 0.1785)  2 B 2.15

symmetry = Im-3, No. 204
formation enthalpy at 0 K = -376 meV/atom
magnetization = 0.00 μB per cell
D(E_F) = 5.47 states/eV per cell

---

Record 11
ErBPt4: optimized geometry, GGA-PBE.

abc: 7.6731 7.6731 4.9658
angles: 108.82 108.82 43.36
With the nearest neighbours (Å) after each atom.
Sites, in units of the cell vectors:
Er (0.1945, 0.1945, 0.1943)  12 Pt 2.83-3.04
Er (0.8055, 0.8055, 0.8057)  12 Pt 2.83-3.04
B (0.5001, 0.5001, 0.3214)  1 B 1.77
B (0.4999, 0.4999, 0.6786)  1 B 1.77
Pt (0.1324, 0.6360, 0.3842)  2 B 2.29
Pt (0.2499, 0.7501, 0.0000)  2 B 2.13
Pt (0.3053, 0.3053, 0.8049)  4 Er 2.83-2.89, 8 Pt 2.90-3.05, 2 B 3.05-3.06
Pt (0.3640, 0.8676, 0.6158)  2 B 2.29
Pt (0.6360, 0.1324, 0.3842)  2 B 2.29
Pt (0.6947, 0.6947, 0.1951)  4 Er 2.83-2.89, 8 Pt 2.90-3.05, 2 B 3.05-3.06
Pt (0.7501, 0.2499, 0.0000)  2 B 2.13
Pt (0.8676, 0.3640, 0.6158)  2 B 2.29

symmetry = C2/m, No. 12
formation enthalpy at 0 K = -743 meV/atom
magnetization = 0.00 μB per cell
D(E_F) = 3.12 states/eV per cell

---

Record 12
ErBPt: optimized geometry, GGA-PBE.

abc: 3.7899 3.7899 4.0272
angles: 90.00 90.00 120.00
With the nearest neighbours (Å) after each atom.
Sites, in units of the cell vectors:
Er (0.0000, 0.0000, 0.0000)  6 B 2.97, 6 Pt 2.97
B (0.3333, 0.6667, 0.5000)  3 Pt 2.19
Pt (0.6667, 0.3333, 0.5000)  3 B 2.19

symmetry = P-6m2, No. 187
formation enthalpy at 0 K = -721 meV/atom
magnetization = 0.00 μB per cell
D(E_F) = 2.76 states/eV per cell